[1]
DFT (GGA-PBE) results for an optimized crystal structure of Ta2TiBBr.

a = 4.816 Å, b = 3.966 Å, c = 4.816 Å
α = 90.00°, β = 90.00°, γ = 90.00°
Fractional positions:
1 B 0.000 0.500 0.000
2 Ta 0.000 0.000 0.500
3 Ti 0.500 0.500 0.500
4 Br 0.000 0.000 0.000
5 Ta 0.500 0.000 0.000

Calculated values
ΔE to the lowest computed polymorph, eV per formula unit: 6.19


[2]
DFT (GGA-PBE) results for an optimized crystal structure of Ta2TlBBr.

a = 4.890 Å, b = 4.092 Å, c = 4.890 Å
α = 90.00°, β = 90.00°, γ = 90.00°
Fractional positions:
1 Ta 0.500 0.000 0.000
2 Ta 0.000 0.000 0.500
3 B 0.000 0.500 0.000
4 Br 0.000 0.000 0.000
5 Tl 0.500 0.500 0.500

Calculated values
Calculated total energy, eV/atom: -4.995


[3]
DFT (GGA-PBE) results for an optimized crystal structure of Tb7BBr12.

a = 9.059 Å, b = 9.059 Å, c = 9.059 Å
α = 107.65°, β = 107.65°, γ = 107.65°
Fractional positions:
1 Tb 0.691 0.895 0.967
2 Br 0.078 0.687 0.227
3 Br 0.470 0.156 0.389
4 Br 0.313 0.773 0.922
5 Tb 0.033 0.309 0.105
6 Br 0.844 0.611 0.530
7 Br 0.611 0.530 0.844
8 Br 0.687 0.227 0.078
9 Tb 0.309 0.105 0.033
10 Br 0.389 0.470 0.156
11 Tb 0.895 0.967 0.691
12 Tb 0.967 0.691 0.895
13 B 0.000 0.000 0.000
14 Br 0.227 0.078 0.687
15 Br 0.922 0.313 0.773
16 Br 0.530 0.844 0.611
17 Br 0.156 0.389 0.470
18 Tb 0.500 0.500 0.500
19 Br 0.773 0.922 0.313
20 Tb 0.105 0.033 0.309

Calculated values
Calculated total energy, eV/atom: -4.547


| no. | density (Mg/m³) |
| --- | --- |
| 1 | 9.03 |
| 2 | 11.15 |
| 3 | 5.69 |